Record 1
Material: CsRhSe
Method: DFT, PBE-GGA
State: optimized geometry

Properties
ΔE_f (raw)   -0.477 eV/atom

abc: 9.357 9.254 9.254
angles: 109.24 109.70 109.70
Sites, in units of the cell vectors:
Cs 0.166 0.763 0.103
Cs 0.597 0.661 0.763
Cs 0.936 0.103 0.339
Cs 0.834 0.237 0.897
Cs 0.064 0.897 0.661
Cs 0.403 0.339 0.237
Rh 0.399 0.861 0.513
Rh 0.114 0.513 0.653
Rh 0.601 0.139 0.487
Rh 0.462 0.347 0.861
Rh 0.538 0.653 0.139
Rh 0.886 0.487 0.347
Se 0.384 0.130 0.572
Se 0.254 0.442 0.870
Se 0.188 0.572 0.442
Se 0.616 0.870 0.428
Se 0.746 0.558 0.130
Se 0.812 0.428 0.558



Record 2
Material: Cs3U3RhSe8
Method: DFT, PBE-GGA
State: optimized geometry

Properties
ΔE_f (raw)   -1.058 eV/atom

abc: 8.119 8.121 9.866
angles: 114.33 90.00 119.99
Site moments in Bohr magnetons follow the coordinates.
Sites, in units of the cell vectors:
U 0.500 0.500 0.500  2.32
U 0.000 0.500 0.500  2.32
U 0.500 0.000 0.500  2.32
Se 0.217 0.434 0.677  -0.04
Se 0.269 0.538 0.308  -0.06
Se 0.217 0.960 0.677  -0.04
Se 0.257 0.040 0.323  -0.04
Se 0.783 0.040 0.323  -0.04
Se 0.783 0.566 0.323  -0.04
Se 0.743 0.960 0.677  -0.04
Se 0.731 0.462 0.692  -0.06
Cs 0.000 0.000 0.000  0.00
Cs 0.000 0.500 0.000  0.00
Cs 0.500 0.500 0.000  0.00
Rh 0.000 0.000 0.500  0.37



Record 3
Material: Cs2URhSe4
Method: DFT, PBE-GGA
State: optimized geometry

Properties
ΔE_f (raw)   -0.783 eV/atom

abc: 6.507 8.074 13.614
angles: 84.47 76.17 66.24
Site moments in Bohr magnetons follow the coordinates.
Sites, in units of the cell vectors:
Se 0.172 0.299 0.400  0.00
Se 0.878 0.799 0.900  0.00
Se 0.221 0.201 0.900  0.00
Se 0.323 0.799 0.100  0.00
Se 0.578 0.201 0.100  0.00
Se 0.872 0.701 0.600  0.00
Se 0.427 0.701 0.400  0.00
Se 0.529 0.299 0.600  0.00
Cs 0.571 0.500 0.858  0.01
Cs 0.821 0.000 0.358  0.01
Cs 0.929 0.500 0.142  0.01
Cs 0.179 0.000 0.642  0.01
U 0.000 0.000 0.000  1.69
U 0.750 0.500 0.500  1.69
Rh 0.250 0.500 0.500  0.52
Rh 0.500 0.000 0.000  0.52



Record 4
Material: CsURhSe4
Method: DFT, PBE-GGA
State: optimized geometry

Properties
ΔE_f (raw)   -0.846 eV/atom

abc: 6.809 6.217 9.796
angles: 90.00 104.30 90.00
Site moments in Bohr magnetons follow the coordinates.
Sites, in units of the cell vectors:
Se 0.024 0.510 0.692  -0.03
Se 0.976 0.010 0.308  -0.03
Se 0.453 0.750 0.214  -0.03
Se 0.465 0.750 0.615  -0.05
Se 0.535 0.250 0.385  -0.05
Se 0.976 0.490 0.308  -0.03
Se 0.024 0.990 0.692  -0.03
Se 0.547 0.250 0.786  -0.03
Cs 0.235 0.250 0.039  0.00
Cs 0.765 0.750 0.961  0.00
U 0.749 0.750 0.459  1.19
U 0.251 0.250 0.541  1.19
Rh 0.242 0.750 0.386  0.02
Rh 0.758 0.250 0.614  0.02



Record 5
Material: CsVRhSe2
Method: DFT, PBE-GGA
State: optimized geometry

Properties
ΔE_f (raw)   1.789 eV/atom

abc: 5.966 5.044 5.966
angles: 90.00 90.00 90.00
Site moments in Bohr magnetons follow the coordinates.
Sites, in units of the cell vectors:
Se 0.000 0.000 0.500  -0.41
Se 0.500 0.000 0.000  -0.31
V 0.500 0.500 0.500  3.10
Cs 0.000 0.000 0.000  -0.07
Rh 0.000 0.500 0.000  -0.86



Record 6
Material: Cs2SiRh
Method: DFT, PBE-GGA
State: optimized geometry

Properties
ΔE_f (raw)   0.130 eV/atom

abc: 9.522 9.522 9.522
angles: 93.26 93.26 152.43
Sites, in units of the cell vectors:
Cs 0.195 0.875 0.820
Cs 0.125 0.945 0.320
Cs 0.625 0.805 0.680
Cs 0.055 0.375 0.180
Si 0.500 0.500 0.000
Si 0.750 0.250 0.500
Rh 0.250 0.750 0.500
Rh 0.000 0.000 0.000



Record 7
Material: CsSiTc2Rh
Method: DFT, PBE-GGA
State: optimized geometry

Properties
ΔE_f (raw)   2.018 eV/atom

abc: 4.802 5.944 4.802
angles: 90.00 90.00 90.00
Site moments in Bohr magnetons follow the coordinates.
Sites, in units of the cell vectors:
Cs 0.000 0.500 0.000  -0.06
Rh 0.000 0.000 0.000  0.01
Tc 0.000 0.000 0.500  1.68
Tc 0.500 0.000 0.000  1.54
Si 0.500 0.500 0.500  -0.30



Record 8
Material: CsSn3Rh
Method: DFT, PBE-GGA
State: optimized geometry

Properties
Energy above the lowest structure with this stoichiometry   2042 meV/atom
ΔE_f   2.07 eV per atom

abc: 5.969 5.969 5.969
angles: 90.00 90.00 90.00
Sites, in units of the cell vectors:
Sn 0.000 0.000 0.500
Sn 0.000 0.500 0.000
Sn 0.500 0.000 0.000
Rh 0.500 0.500 0.500
Cs 0.000 0.000 0.000



Record 9
Material: CsSn2Rh2
Method: DFT, PBE-GGA
State: optimized geometry

Properties
Energy above the lowest structure with this stoichiometry   248 meV/atom
ΔE_f   -0.03 eV per atom

abc: 8.456 8.456 3.150
angles: 90.00 90.00 90.00
Sites, in units of the cell vectors:
Sn 0.637 0.863 0.500
Sn 0.863 0.363 0.500
Sn 0.137 0.637 0.500
Sn 0.363 0.137 0.500
Rh 0.861 0.639 0.000
Rh 0.639 0.139 0.000
Rh 0.361 0.861 0.000
Rh 0.139 0.361 0.000
Cs 0.500 0.500 0.000
Cs 0.000 0.000 0.000



Record 10
Material: CsSn2Rh2
Method: DFT, PBE-GGA
State: optimized geometry

Properties
Energy above the lowest structure with this stoichiometry   0 meV/atom
ΔE_f   -0.27 eV per atom

abc: 4.419 4.419 7.961
angles: 73.88 73.88 90.00
Sites, in units of the cell vectors:
Cs 0.000 0.000 0.000
Sn 0.655 0.655 0.691
Sn 0.345 0.345 0.309
Rh 0.750 0.250 0.500
Rh 0.250 0.750 0.500



Record 11
Material: CsSn2Rh2
Method: DFT, PBE-GGA
State: optimized geometry

Properties
Energy above the lowest structure with this stoichiometry   213 meV/atom
ΔE_f   -0.06 eV per atom

abc: 4.561 4.561 7.522
angles: 72.35 72.35 90.00
Sites, in units of the cell vectors:
Sn 0.750 0.250 0.500
Sn 0.250 0.750 0.500
Cs 0.000 0.000 0.000
Rh 0.649 0.649 0.702
Rh 0.351 0.351 0.298



Record 12
Material: CsSn3Rh
Method: DFT, PBE-GGA
State: optimized geometry

Properties
Energy above the lowest structure with this stoichiometry   0 meV/atom
ΔE_f   0.03 eV per atom

abc: 5.340 5.340 5.340
angles: 90.00 90.00 90.00
Sites, in units of the cell vectors:
Sn 0.000 0.500 0.000
Sn 0.000 0.000 0.500
Sn 0.500 0.000 0.000
Cs 0.500 0.500 0.500
Rh 0.000 0.000 0.000



Record 13
Material: CsSr2SnRh
Method: DFT, PBE-GGA
State: optimized geometry

Properties
ΔE_f   -0.25 eV per atom

abc: 5.959 5.959 5.271
angles: 90.00 90.00 90.00
Sites, in units of the cell vectors:
Sr 0.000 0.500 0.000
Sr 0.500 0.000 0.000
Sn 0.000 0.000 0.500
Cs 0.500 0.500 0.500
Rh 0.000 0.000 0.000



Record 14
Material: CsTaSn2Rh
Method: DFT, PBE-GGA
State: optimized geometry

Properties
ΔE_f   1.36 eV per atom

abc: 5.384 6.036 5.384
angles: 90.00 90.00 90.00
Site moments in Bohr magnetons follow the coordinates.
Sites, in units of the cell vectors:
Sn 0.500 0.000 0.000  -0.02
Sn 0.000 0.000 0.500  -0.02
Rh 0.500 0.500 0.500  1.06
Cs 0.000 0.500 0.000  0.05
Ta 0.000 0.000 0.000  0.81



Record 15
Material: Cs2SnTeRh
Method: DFT, PBE-GGA
State: optimized geometry

Properties
ΔE_f (raw)   0.199 eV/atom

abc: 7.400 4.854 7.400
angles: 90.00 90.00 90.00
Site moments in Bohr magnetons follow the coordinates.
Sites, in units of the cell vectors:
Rh 0.000 0.500 0.000  -0.03
Sn 0.500 0.500 0.500  0.58
Cs 0.000 0.000 0.500  0.02
Cs 0.500 0.000 0.000  0.02
Te 0.000 0.000 0.000  0.01



Record 16
Material: CsSnRh2W
Method: DFT, PBE-GGA
State: optimized geometry

Properties
ΔE_f   1.37 eV per atom

abc: 4.834 5.753 4.834
angles: 90.00 90.00 90.00
Sites, in units of the cell vectors:
Rh 0.000 0.000 0.500
Rh 0.500 0.000 0.000
Sn 0.500 0.500 0.500
Cs 0.000 0.500 0.000
W 0.000 0.000 0.000



Record 17
Material: CsZn2SnRh
Method: DFT, PBE-GGA
State: optimized geometry

Properties
Energy above the lowest structure with this stoichiometry   509 meV/atom
ΔE_f   0.38 eV per atom

abc: 5.442 5.139 5.442
angles: 90.00 90.00 90.00
Sites, in units of the cell vectors:
Zn 0.000 0.000 0.500
Zn 0.500 0.000 0.000
Sn 0.000 0.000 0.000
Rh 0.000 0.500 0.000
Cs 0.500 0.500 0.500



Record 18
Material: CsZn2SnRh
Method: DFT, PBE-GGA
State: optimized geometry

Properties
Energy above the lowest structure with this stoichiometry   0 meV/atom
ΔE_f   -0.13 eV per atom

abc: 5.135 5.135 5.071
angles: 90.00 90.00 90.00
Sites, in units of the cell vectors:
Sn 0.000 0.000 0.500
Rh 0.000 0.000 0.000
Cs 0.500 0.500 0.500
Zn 0.000 0.500 0.000
Zn 0.500 0.000 0.000



Record 19
Material: CsSrRh2
Method: DFT, PBE-GGA
State: optimized geometry

Properties
ΔE_f   0.68 eV per atom

abc: 5.202 5.202 5.202
angles: 60.00 60.00 60.00
Site moments in Bohr magnetons follow the coordinates.
Sites, in units of the cell vectors:
Sr 0.000 0.000 0.000  -0.01
Rh 0.750 0.750 0.750  0.13
Rh 0.250 0.250 0.250  0.13
Cs 0.500 0.500 0.500  -0.01



Record 20
Material: CsSrRh3
Method: DFT, PBE-GGA
State: optimized geometry

Properties
Energy above the lowest structure with this stoichiometry   0 meV/atom
ΔE_f   1.30 eV per atom

abc: 5.040 5.040 5.040
angles: 90.00 90.00 90.00
Sites, in units of the cell vectors:
Rh 0.500 0.000 0.000
Rh 0.000 0.000 0.500
Rh 0.000 0.500 0.000
Cs 0.000 0.000 0.000
Sr 0.500 0.500 0.500



Record 21
Material: Cs3SrRh
Method: DFT, PBE-GGA
State: optimized geometry

Properties
ΔE_f   0.56 eV per atom

abc: 6.654 6.654 6.654
angles: 90.00 90.00 90.00
Sites, in units of the cell vectors:
Cs 0.000 0.000 0.500
Cs 0.500 0.000 0.000
Cs 0.000 0.500 0.000
Rh 0.000 0.000 0.000
Sr 0.500 0.500 0.500



Record 22
Material: CsSrRh3
Method: DFT, PBE-GGA
State: optimized geometry

Properties
Energy above the lowest structure with this stoichiometry   117 meV/atom
ΔE_f   1.41 eV per atom

abc: 5.311 5.311 5.311
angles: 90.00 90.00 90.00
Site moments in Bohr magnetons follow the coordinates.
Sites, in units of the cell vectors:
Rh 0.500 0.000 0.000  0.51
Rh 0.000 0.000 0.500  0.70
Rh 0.000 0.500 0.000  0.71
Sr 0.000 0.000 0.000  -0.04
Cs 0.500 0.500 0.500  -0.01



Record 23
Material: Cs2SrRh
Method: DFT, PBE-GGA
State: optimized geometry

Properties
ΔE_f   0.78 eV per atom

abc: 6.058 6.058 6.058
angles: 60.00 60.00 60.00
Sites, in units of the cell vectors:
Rh 0.500 0.500 0.500
Cs 0.750 0.750 0.750
Cs 0.250 0.250 0.250
Sr 0.000 0.000 0.000



Record 24
Material: Cs2SrRh
Method: DFT, PBE-GGA
State: optimized geometry

Properties
ΔE_f   0.70 eV per atom

abc: 9.020 9.020 9.028
angles: 60.03 60.03 90.00
Sites, in units of the cell vectors:
Cs 0.880 0.625 0.250
Cs 0.875 0.120 0.750
Cs 0.870 0.125 0.250
Cs 0.375 0.130 0.750
Sr 0.500 0.500 0.000
Sr 0.250 0.750 0.500
Rh 0.000 0.000 0.000
Rh 0.750 0.250 0.500



Record 25
Material: CsSrTl2Rh
Method: DFT, PBE-GGA
State: optimized geometry

Properties
ΔE_f   -0.13 eV per atom

abc: 5.502 5.502 5.686
angles: 90.00 90.00 90.00
Sites, in units of the cell vectors:
Tl 0.000 0.500 0.000
Tl 0.500 0.000 0.000
Rh 0.000 0.000 0.000
Sr 0.000 0.000 0.500
Cs 0.500 0.500 0.500



Record 26
Material: CsSr2YRh
Method: DFT, PBE-GGA
State: optimized geometry

Properties
ΔE_f   -0.05 eV per atom

abc: 6.244 6.244 5.428
angles: 90.00 90.00 90.00
Sites, in units of the cell vectors:
Sr 0.500 0.000 0.000
Sr 0.000 0.500 0.000
Rh 0.000 0.000 0.000
Y 0.000 0.000 0.500
Cs 0.500 0.500 0.500



| no. | VASP energy (eV for the cell shown) |
| --- | --- |
| 1 | -78.72 |
| 2 | -87.52 |
| 3 | -81.10 |
| 4 | -78.71 |
| 5 | -15.35 |
| 6 | -27.92 |
| 7 | -24.27 |
| 8 | -9.88 |
| 9 | -47.38 |
| 10 | -24.93 |
| 11 | -23.86 |
| 12 | -20.09 |
| 13 | -16.83 |
| 14 | -21.28 |
| 15 | -15.21 |
| 16 | -25.67 |
| 17 | -12.87 |
| 18 | -15.42 |
| 19 | -14.52 |
| 20 | -18.11 |
| 21 | -8.80 |
| 22 | -17.52 |
| 23 | -7.62 |
| 24 | -15.91 |
| 25 | -15.27 |
| 26 | -18.30 |